No. 1
# Er3In3IrPt2, relaxed, DFT PBE-GGA
data_Er3In3IrPt2
_space_group_name_H-M_alt 'P 1'
_space_group_IT_number 1
_cell_length_a 7.571
_cell_length_b 7.571
_cell_length_c 3.896
_cell_angle_alpha 90.00
_cell_angle_beta 90.00
_cell_angle_gamma 120.00
loop_
_space_group_symop_operation_xyz
'x,y,z'
loop_
_atom_site_label
_atom_site_type_symbol
_atom_site_fract_x
_atom_site_fract_y
_atom_site_fract_z
_atom_site_occupancy
Er1 Er 0.000 0.598 0.000 1
Er2 Er 0.402 0.402 0.000 1
Er3 Er 0.598 0.000 0.000 1
In1 In 0.000 0.258 0.500 1
In2 In 0.258 0.000 0.500 1
In3 In 0.742 0.742 0.500 1
Ir1 Ir 0.000 0.000 0.000 1
Pt1 Pt 0.333 0.667 0.500 1
Pt2 Pt 0.667 0.333 0.500 1
# * total energy: -5.67 eV per atom


No. 2
# Tb4NdAg5, relaxed, DFT PBE-GGA
data_Tb4NdAg5
_space_group_name_H-M_alt 'P 1'
_space_group_IT_number 1
_cell_length_a 3.647
_cell_length_b 3.647
_cell_length_c 18.413
_cell_angle_alpha 90.00
_cell_angle_beta 90.00
_cell_angle_gamma 90.00
loop_
_space_group_symop_operation_xyz
'x,y,z'
loop_
_atom_site_label
_atom_site_type_symbol
_atom_site_fract_x
_atom_site_fract_y
_atom_site_fract_z
_atom_site_occupancy
Tb1 Tb 0.000 0.000 0.099 1
Tb2 Tb 0.000 0.000 0.296 1
Tb3 Tb 0.000 0.000 0.704 1
Tb4 Tb 0.000 0.000 0.901 1
Nd1 Nd 0.000 0.000 0.500 1
Ag1 Ag 0.500 0.500 0.000 1
Ag2 Ag 0.500 0.500 0.198 1
Ag3 Ag 0.500 0.500 0.392 1
Ag4 Ag 0.500 0.500 0.608 1
Ag5 Ag 0.500 0.500 0.802 1
# * energy relative to the elements: -7.270 kcal/mol of atoms
# * total energy: -4.06 eV per atom


No. 3
# RbNdCu, relaxed, DFT PBE-GGA
data_RbNdCu
_space_group_name_H-M_alt 'P 1'
_space_group_IT_number 1
_cell_length_a 5.270
_cell_length_b 5.270
_cell_length_c 5.270
_cell_angle_alpha 60.00
_cell_angle_beta 60.00
_cell_angle_gamma 60.00
loop_
_space_group_symop_operation_xyz
'x,y,z'
loop_
_atom_site_label
_atom_site_type_symbol
_atom_site_fract_x
_atom_site_fract_y
_atom_site_fract_z
_atom_site_occupancy
Rb1 Rb 0.000 0.000 0.000 1
Nd1 Nd 0.500 0.500 0.500 1
Cu1 Cu 0.750 0.750 0.750 1
# * total energy: -2.51 eV per atom


No. 4
# CdI3, relaxed, DFT PBE-GGA
data_CdI3
_space_group_name_H-M_alt 'P 1'
_space_group_IT_number 1
_cell_length_a 7.637
_cell_length_b 7.637
_cell_length_c 10.349
_cell_angle_alpha 119.58
_cell_angle_beta 119.58
_cell_angle_gamma 52.13
loop_
_space_group_symop_operation_xyz
'x,y,z'
loop_
_atom_site_label
_atom_site_type_symbol
_atom_site_fract_x
_atom_site_fract_y
_atom_site_fract_z
_atom_site_occupancy
Cd1 Cd 0.188 0.188 0.081 1
Cd2 Cd 0.812 0.812 0.919 1
I1 I 0.018 0.473 0.346 1
I2 I 0.261 0.739 0.000 1
I3 I 0.274 0.726 0.500 1
I4 I 0.527 0.982 0.654 1
I5 I 0.631 0.140 0.175 1
I6 I 0.860 0.369 0.825 1
# * total energy: -1.83 eV per atom


> Among the records above, which one has the lowest total energy?

Er3In3IrPt2


> Which of these has the lowest total energy?

Er3In3IrPt2


> Which of these has the highest total energy?

CdI3